! Ca3Y3ScS8 (PBE, relaxed); values from VASP
! Crystal system: trigonal
&SYSTEM
  ibrav = 0, nat = 15, ntyp = 4
/
ATOMIC_SPECIES
Ca 40.08 Ca.upf
Y 88.91 Y.upf
Sc 44.96 Sc.upf
S 32.06 S.upf
CELL_PARAMETERS angstrom
3.913 2.259 6.545
-3.913 2.259 6.545
0.000 -4.518 6.545
ATOMIC_POSITIONS angstrom
Ca -1.956 -1.129 6.545
Ca -1.956 1.129 13.091
Ca 0.000 2.259 6.545
Y -3.913 0.000 9.818
Y -1.956 1.129 3.273
Y 1.956 1.129 3.273
Sc 0.000 0.000 9.818
S 0.000 0.000 4.880
S -1.879 -1.085 11.336
S 0.000 -2.170 8.301
S -1.879 1.085 8.301
S 1.879 -1.085 11.336
S 0.000 2.170 11.336
S 1.879 1.085 8.301
S 0.000 0.000 14.757

***

! CaY4ScS8 (PBE, relaxed); values from VASP
! Crystal system: trigonal
&SYSTEM
  ibrav = 0, nat = 14, ntyp = 4
/
ATOMIC_SPECIES
Ca 40.08 Ca.upf
Y 88.91 Y.upf
Sc 44.96 Sc.upf
S 32.06 S.upf
CELL_PARAMETERS angstrom
4.038 2.332 6.460
-4.038 2.332 6.460
0.000 -4.663 6.460
ATOMIC_POSITIONS angstrom
Ca 0.000 0.000 0.000
Y 0.000 -2.369 10.561
Y -2.051 1.184 10.561
Y 0.000 0.000 14.631
Y 2.051 1.184 10.561
Sc 0.000 0.000 7.269
S 0.000 0.000 2.657
S 0.000 -2.087 5.711
S -1.807 1.043 5.711
S -1.847 -1.066 8.925
S 1.807 1.043 5.711
S 1.847 -1.066 8.925
S 0.000 2.133 8.925
S 0.000 0.000 12.023

***

! CaYScS2 (PBE, relaxed); values from VASP
! Crystal system: tetragonal
&SYSTEM
  ibrav = 0, nat = 5, ntyp = 4
/
ATOMIC_SPECIES
Ca 40.08 Ca.upf
Y 88.91 Y.upf
Sc 44.96 Sc.upf
S 32.06 S.upf
CELL_PARAMETERS angstrom
4.969 0.000 0.000
0.000 4.969 0.000
0.000 0.000 5.398
ATOMIC_POSITIONS angstrom
Ca 0.000 0.000 0.000
Y 2.485 2.485 0.000
Sc 0.000 0.000 2.699
S 0.000 2.485 2.699
S 2.485 0.000 2.699

***

! Ca2YScS4 (PBE, relaxed); values from VASP
! Crystal system: monoclinic
&SYSTEM
  ibrav = 0, nat = 8, ntyp = 4
/
ATOMIC_SPECIES
Ca 40.08 Ca.upf
Y 88.91 Y.upf
Sc 44.96 Sc.upf
S 32.06 S.upf
CELL_PARAMETERS angstrom
6.721 0.000 0.000
0.000 3.889 0.000
-2.249 0.000 6.474
ATOMIC_POSITIONS angstrom
Ca 0.000 0.000 0.000
Ca 3.361 1.944 0.000
Y -1.125 1.944 3.237
Sc 2.236 0.000 3.237
S 0.045 0.000 4.798
S 1.166 1.944 1.711
S 3.306 1.944 4.764
S 4.428 0.000 1.676

***

! Ca3Sc3ZnS8 (PBE, relaxed); values from VASP
! Crystal system: trigonal
&SYSTEM
  ibrav = 0, nat = 15, ntyp = 4
/
ATOMIC_SPECIES
Ca 40.08 Ca.upf
Sc 44.96 Sc.upf
Zn 65.41 Zn.upf
S 32.06 S.upf
CELL_PARAMETERS angstrom
3.777 2.180 6.416
-3.777 2.180 6.416
0.000 -4.361 6.416
ATOMIC_POSITIONS angstrom
Ca -1.888 -1.090 6.416
Ca -1.888 1.090 12.833
Ca 0.000 2.180 6.416
Sc -3.777 0.000 9.625
Sc -1.888 1.090 3.208
Sc 1.888 1.090 3.208
Zn 0.000 0.000 9.625
S -1.884 -1.088 11.055
S 0.000 0.000 4.686
S 0.000 -2.176 8.194
S -1.884 1.088 8.194
S 1.884 -1.088 11.055
S 0.000 2.176 11.055
S 0.000 0.000 14.563
S 1.884 1.088 8.194

***

! CaSe3S (PBE, relaxed); values from VASP
! Crystal system: cubic
&SYSTEM
  ibrav = 0, nat = 5, ntyp = 3
/
ATOMIC_SPECIES
Ca 40.08 Ca.upf
Se 78.96 Se.upf
S 32.06 S.upf
CELL_PARAMETERS angstrom
4.932 0.000 0.000
0.000 4.932 0.000
0.000 0.000 4.932
ATOMIC_POSITIONS angstrom
Ca 0.000 0.000 0.000
Se 0.000 2.466 2.466
Se 2.466 0.000 2.466
Se 2.466 2.466 0.000
S 2.466 2.466 2.466

***

Number 1: DOS at the Fermi energy 4.687 states/eV per cell, calculated total energy -95.90 eV per formula unit, uncorrected formation energy -200.4 kJ/mol of atoms. Number 2: DOS at the Fermi energy 3.934 states/eV per cell, calculated total energy -94.87 eV per formula unit, uncorrected formation energy -190.7 kJ/mol of atoms. Number 3: DOS at the Fermi energy 5.306 states/eV per cell, calculated total energy -24.71 eV per formula unit, uncorrected formation energy -32.0 kJ/mol of atoms. Number 4: DOS at the Fermi energy 3.586 states/eV per cell, calculated total energy -49.38 eV per formula unit, uncorrected formation energy -193.9 kJ/mol of atoms. Number 5: DOS at the Fermi energy 3.900 states/eV per cell, calculated total energy -86.08 eV per formula unit, uncorrected formation energy -172.3 kJ/mol of atoms. Number 6: DOS at the Fermi energy 2.716 states/eV per cell, calculated total energy -18.43 eV per formula unit, uncorrected formation energy -35.7 kJ/mol of atoms.